First-principles (PBE) data for crystalline Rb3Pa3TcN8 at its relaxed geometry, as listed in Alexandria via LeMat-Bulk.

Cell: 6.9143 6.9122 7.8583 Å, 116.10 90.02 119.99°
With the nearest neighbours (Å) after each atom.
Atoms (fractional coordinates):
N: 0.2805 0.5611 0.3418  3 Pa 2.26-2.27
N: 0.7383 0.9438 0.6491  1 Tc 2.12, 2 Pa 2.30
N: 0.7195 0.4389 0.6582  3 Pa 2.26-2.27
N: 0.2051 0.4103 0.6491  1 Tc 2.12, 2 Pa 2.30
N: 0.2617 0.0562 0.3509  1 Tc 2.12, 2 Pa 2.30
N: 0.7947 0.0561 0.3509  1 Tc 2.12, 2 Pa 2.30
N: 0.2053 0.9439 0.6491  1 Tc 2.12, 2 Pa 2.30
N: 0.7949 0.5897 0.3509  1 Tc 2.12, 2 Pa 2.30
Pa: 0.0000 0.5000 0.5000  6 N 2.26-2.30
Pa: 0.5000 0.5000 0.5000  6 N 2.26-2.30
Pa: 0.5000 0.0000 0.5000  6 N 2.27-2.30
Rb: 0.0000 0.5000 0.0000  6 N 3.06
Rb: 0.5000 0.5000 0.0000  6 N 3.06
Rb: 0.0000 0.0000 0.0000  6 N 3.05-3.06
Tc: 0.0000 0.0000 0.5000  6 N 2.12

**Final energy**: -8.016 eV per atom
**Fermi-level density of states**: 2.9 states/eV/f.u.

***

First-principles (PBE) data for crystalline Cr2TeS at its relaxed geometry, as listed in Alexandria via LeMat-Bulk.

Cell: 4.7255 4.7255 4.7255 Å, 60.00 60.00 60.00°
With the nearest neighbours (Å) after each atom.
Atoms (fractional coordinates):
Cr: 0.7500 0.7500 0.7500  4 S 2.89, 4 Te 2.89
Cr: 0.2500 0.2500 0.2500  4 S 2.89, 4 Te 2.89
Te: 0.5000 0.5000 0.5000  8 Cr 2.89
S: 0.0000 0.0000 0.0000  8 Cr 2.89

**Energy above the most stable polymorph in this dataset**: 321 meV per atom
**Fermi-level density of states**: 1.2 states/eV/f.u.

***

First-principles (PBE) data for crystalline TbPuSc4 at its relaxed geometry, as listed in Alexandria via LeMat-Bulk.

Cell: 14.0399 6.6436 6.6167 Å, 120.19 135.01 89.99°
With the nearest neighbours (Å) after each atom.
Atoms (fractional coordinates):
Pu: 0.6650 0.7464 0.4924  9 Sc 3.21-3.32, 1 Pu 3.24, 2 Tb 3.32
Pu: 0.3350 0.2536 0.5076  9 Sc 3.21-3.32, 1 Pu 3.24, 2 Tb 3.32
Sc: 0.6676 0.7485 0.9993  6 Sc 3.23-3.37, 3 Tb 3.28-3.40, 3 Pu 3.30-3.32
Sc: 0.3324 0.7493 0.0009  6 Sc 3.23-3.37, 3 Tb 3.29-3.40, 3 Pu 3.30-3.32
Sc: 0.6676 0.2507 0.9991  6 Sc 3.23-3.37, 3 Tb 3.29-3.40, 3 Pu 3.30-3.32
Sc: 0.3324 0.2515 0.0007  6 Sc 3.23-3.37, 3 Tb 3.28-3.40, 3 Pu 3.30-3.32
Sc: 0.0000 0.7604 0.9999  8 Sc 3.18-3.46, 2 Tb 3.26-3.27, 2 Pu 3.28
Sc: 0.9875 0.2345 0.4690  1 Pu 3.21, 10 Sc 3.23-3.37, 1 Tb 3.31
Sc: 0.0125 0.7655 0.5310  1 Pu 3.21, 10 Sc 3.23-3.37, 1 Tb 3.31
Sc: 0.0000 0.2396 0.0001  8 Sc 3.18-3.46, 2 Tb 3.26-3.27, 2 Pu 3.28
Tb: 0.6788 0.2628 0.5254  9 Sc 3.26-3.40, 2 Pu 3.32, 1 Tb 3.46
Tb: 0.3212 0.7372 0.4746  9 Sc 3.26-3.40, 2 Pu 3.32, 1 Tb 3.46

**Formation enthalpy at 0 K**: 0.07 eV per atom
**Energy above the most stable polymorph in this dataset**: 0 meV per atom
**Fermi-level density of states**: 13.3 states/eV/f.u.

***

First-principles (PBE) data for crystalline Sr3Li3Au2 at its relaxed geometry, as listed in Alexandria via LeMat-Bulk.

Cell: 4.4864 6.1931 17.6165 Å, 90.00 90.00 111.24°
With the nearest neighbours (Å) after each atom.
Atoms (fractional coordinates):
Sr: 0.9464 0.8928 0.3914  3 Au 3.32-3.33, 5 Li 3.40-3.63
Sr: 0.3402 0.6803 0.7500  3 Li 3.20-3.48, 4 Au 3.36
Sr: 0.6598 0.3197 0.2500  3 Li 3.20-3.48, 4 Au 3.36
Sr: 0.0536 0.1072 0.8914  3 Au 3.32-3.33, 5 Li 3.40-3.63
Sr: 0.9464 0.8928 0.1086  3 Au 3.32-3.33, 5 Li 3.40-3.63
Sr: 0.0536 0.1072 0.6086  3 Au 3.32-3.33, 5 Li 3.40-3.63
Au: 0.2350 0.4699 0.3834  4 Li 2.75-2.82
Au: 0.7650 0.5301 0.6166  4 Li 2.75-2.82
Au: 0.2350 0.4699 0.1166  4 Li 2.75-2.82
Au: 0.7650 0.5301 0.8834  4 Li 2.75-2.82
Li: 0.3244 0.6488 0.5325  3 Au 2.77-2.82, 2 Li 3.05
Li: 0.3244 0.6488 0.9675  3 Au 2.77-2.82, 2 Li 3.05
Li: 0.3580 0.7161 0.2500  2 Au 2.75
Li: 0.6756 0.3512 0.4675  3 Au 2.77-2.82, 2 Li 3.05
Li: 0.6756 0.3512 0.0325  3 Au 2.77-2.82, 2 Li 3.05
Li: 0.6420 0.2839 0.7500  2 Au 2.75

**Formation enthalpy at 0 K**: -0.43 eV per atom
**Fermi-level density of states**: 4.2 states/eV/f.u.